DFT (PBE) results for Hf2PaV after structural relaxation.

abc: 3.1424 3.1424 29.8606
angles: 90.00 90.00 120.00
Space group R-3m (No. 166, hexagonal axes)
Asymmetric unit:
Hf 0.0000 0.0000 0.2398 x6
Pa 0.0000 0.0000 0.0000 x3
V 0.0000 0.0000 0.5000 x3

## Properties
- DOS at the Fermi energy (states/eV/f.u.) = 7.36
- energy above the most stable polymorph in this dataset (eV per formula unit) = 0.37
- volume (Å³ per cell) = 255.4
- crystal system = trigonal
- total DFT energy (no corrections) (hartree per atom) = -0.3440